DFT (PBE-GGA) results for HoEr2NiSn3Ir2 after structural relaxation.

Total DFT energy (no corrections), eV per atom: -6.2465
Spin magnetization, μB per formula unit: 0.00
Space-group type: No. 38

Lattice parameters (Å, degrees): 3.720 7.561 7.561 120.02 90.00 90.00
Positions (direct):
Ho 0.000 0.000 0.000
Er 0.000 0.407 0.813
Er 0.000 0.813 0.407
Ni 0.000 0.407 0.407
Sn 0.500 0.150 0.407
Sn 0.500 0.407 0.150
Sn 0.500 0.663 0.663
Ir 0.500 0.074 0.739
Ir 0.500 0.739 0.074


DFT (PBE-GGA) results for Rb3PmCl6 after structural relaxation.

Total DFT energy (no corrections), eV per atom: -4.0046
Spin magnetization, μB per formula unit: 0.00
Space-group type: No. 14

Lattice parameters (Å, degrees): 7.808 8.245 13.458 90.00 124.31 90.00
Positions (direct):
Rb 0.000 0.000 0.000
Rb 0.000 0.500 0.500
Rb 0.216 0.069 0.743
Rb 0.216 0.431 0.243
Rb 0.784 0.569 0.757
Rb 0.784 0.931 0.257
Pm 0.500 0.000 0.500
Pm 0.500 0.500 0.000
Cl 0.165 0.180 0.445
Cl 0.165 0.320 0.945
Cl 0.255 0.729 0.423
Cl 0.255 0.771 0.923
Cl 0.401 0.057 0.274
Cl 0.401 0.443 0.774
Cl 0.599 0.557 0.226
Cl 0.599 0.943 0.726
Cl 0.745 0.229 0.077
Cl 0.745 0.271 0.577
Cl 0.835 0.680 0.055
Cl 0.835 0.820 0.555


DFT (PBE-GGA) results for TcN after structural relaxation.

Total DFT energy (no corrections), eV per atom: -8.5741
Spin magnetization, μB per formula unit: 0.00
Space-group type: No. 221

Lattice parameters (Å, degrees): 2.674 2.674 2.674 90.00 90.00 90.00
Positions (direct):
Tc 0.000 0.000 0.000
N 0.500 0.500 0.500


DFT (PBE-GGA) results for TaAlCdCu after structural relaxation.

Total DFT energy (no corrections), eV per atom: -4.6215
Spin magnetization, μB per formula unit: 0.80
Space-group type: No. 216

Lattice parameters (Å, degrees): 6.427 6.427 6.427 90.00 90.00 90.00
Positions (direct):
Ta 0.000 0.000 0.000
Ta 0.000 0.500 0.500
Ta 0.500 0.000 0.500
Ta 0.500 0.500 0.000
Al 0.000 0.000 0.500
Al 0.000 0.500 0.000
Al 0.500 0.000 0.000
Al 0.500 0.500 0.500
Cd 0.250 0.250 0.250
Cd 0.250 0.750 0.750
Cd 0.750 0.250 0.750
Cd 0.750 0.750 0.250
Cu 0.250 0.250 0.750
Cu 0.250 0.750 0.250
Cu 0.750 0.250 0.250
Cu 0.750 0.750 0.750


DFT (PBE-GGA) results for Sc4Ni2CN after structural relaxation.

Total DFT energy (no corrections), eV per atom: -7.3921
Spin magnetization, μB per formula unit: 0.01
Space-group type: No. 164

Lattice parameters (Å, degrees): 3.281 3.281 12.745 90.00 90.00 120.00
Positions (direct):
Sc 0.333 0.667 0.099
Sc 0.333 0.667 0.402
Sc 0.667 0.333 0.598
Sc 0.667 0.333 0.901
Ni 0.333 0.667 0.747
Ni 0.667 0.333 0.253
C 0.000 0.000 0.000
N 0.000 0.000 0.500


DFT (PBE-GGA) results for InTe5Os3 after structural relaxation.

Total DFT energy (no corrections), eV per atom: -5.4573
Spin magnetization, μB per formula unit: 0.00
Space-group type: No. 191

Lattice parameters (Å, degrees): 5.963 5.963 7.791 90.00 90.00 120.00
Positions (direct):
In 0.000 0.000 0.000
Te 0.000 0.000 0.500
Te 0.333 0.667 0.241
Te 0.333 0.667 0.759
Te 0.667 0.333 0.241
Te 0.667 0.333 0.759
Os 0.000 0.500 0.500
Os 0.500 0.000 0.500
Os 0.500 0.500 0.500


DFT (PBE-GGA) results for Np3Al after structural relaxation.

Total DFT energy (no corrections), eV per atom: -10.3661
Spin magnetization, μB per formula unit: 5.53
Space-group type: No. 139

Lattice parameters (Å, degrees): 4.302 4.302 8.078 90.00 90.00 90.00
Positions (direct):
Np 0.000 0.000 0.000
Np 0.000 0.500 0.250
Np 0.000 0.500 0.750
Np 0.500 0.000 0.250
Np 0.500 0.000 0.750
Np 0.500 0.500 0.500
Al 0.000 0.000 0.500
Al 0.500 0.500 0.000


DFT (PBE-GGA) results for GdTmAg2Se4 after structural relaxation.

Total DFT energy (no corrections), eV per atom: -4.8100
Spin magnetization, μB per formula unit: 0.00
Space-group type: No. 35

Lattice parameters (Å, degrees): 9.540 9.565 4.310 90.00 90.00 90.00
Positions (direct):
Gd 0.000 0.000 0.000
Gd 0.500 0.500 0.000
Tm 0.000 0.500 0.592
Tm 0.500 0.000 0.592
Ag 0.250 0.250 0.796
Ag 0.250 0.750 0.796
Ag 0.750 0.250 0.796
Ag 0.750 0.750 0.796
Se 0.000 0.301 0.080
Se 0.000 0.699 0.080
Se 0.205 0.000 0.512
Se 0.295 0.500 0.512
Se 0.500 0.199 0.080
Se 0.500 0.801 0.080
Se 0.705 0.500 0.512
Se 0.795 0.000 0.512


DFT (PBE-GGA) results for Li2ScNiSn2 after structural relaxation.

Total DFT energy (no corrections), eV per atom: -4.2233
Spin magnetization, μB per formula unit: 0.00
Space-group type: No. 187

Lattice parameters (Å, degrees): 4.753 4.753 5.754 90.00 90.00 120.00
Positions (direct):
Li 0.000 0.000 0.246
Li 0.000 0.000 0.754
Sc 0.333 0.667 0.500
Ni 0.667 0.333 0.000
Sn 0.333 0.667 0.000
Sn 0.667 0.333 0.500


DFT (PBE-GGA) results for CuNiBPt after structural relaxation.

Total DFT energy (no corrections), eV per atom: -5.2136
Spin magnetization, μB per formula unit: 0.00
Space-group type: No. 216

Lattice parameters (Å, degrees): 5.649 5.649 5.649 90.00 90.00 90.00
Positions (direct):
Cu 0.000 0.000 0.000
Cu 0.000 0.500 0.500
Cu 0.500 0.000 0.500
Cu 0.500 0.500 0.000
Ni 0.250 0.250 0.250
Ni 0.250 0.750 0.750
Ni 0.750 0.250 0.750
Ni 0.750 0.750 0.250
B 0.250 0.250 0.750
B 0.250 0.750 0.250
B 0.750 0.250 0.250
B 0.750 0.750 0.750
Pt 0.000 0.000 0.500
Pt 0.000 0.500 0.000
Pt 0.500 0.000 0.000
Pt 0.500 0.500 0.500


DFT (PBE-GGA) results for NbAlCo after structural relaxation.

Total DFT energy (no corrections), eV per atom: -6.4313
Spin magnetization, μB per formula unit: 0.61
Space-group type: No. 216

Lattice parameters (Å, degrees): 5.820 5.820 5.820 90.00 90.00 90.00
Positions (direct):
Nb 0.000 0.000 0.000
Nb 0.000 0.500 0.500
Nb 0.500 0.000 0.500
Nb 0.500 0.500 0.000
Al 0.250 0.250 0.750
Al 0.250 0.750 0.250
Al 0.750 0.250 0.250
Al 0.750 0.750 0.750
Co 0.000 0.000 0.500
Co 0.000 0.500 0.000
Co 0.500 0.000 0.000
Co 0.500 0.500 0.500


DFT (PBE-GGA) results for Cu3Ag after structural relaxation.

Total DFT energy (no corrections), eV per atom: -3.4173
Space-group type: No. 12
ΔE_f, meV/atom: 76

Lattice parameters (Å, degrees): 8.394 3.760 7.561 90.00 116.48 90.00
Positions (direct):
Cu 0.000 0.000 0.000
Cu 0.000 0.000 0.500
Cu 0.005 0.500 0.268
Cu 0.247 0.000 0.385
Cu 0.253 0.500 0.615
Cu 0.495 0.000 0.732
Cu 0.500 0.500 0.000
Cu 0.500 0.500 0.500
Cu 0.505 0.000 0.268
Cu 0.747 0.500 0.385
Cu 0.753 0.000 0.615
Cu 0.995 0.500 0.732
Ag 0.248 0.500 0.134
Ag 0.252 0.000 0.866
Ag 0.748 0.000 0.134
Ag 0.752 0.500 0.866


DFT (PBE-GGA) results for AcCdO3 after structural relaxation.

Total DFT energy (no corrections), eV per atom: -5.7989
Spin magnetization, μB per formula unit: 1.00
Space-group type: No. 167

Lattice parameters (Å, degrees): 6.323 6.323 6.323 58.31 58.31 58.31
Positions (direct):
Ac 0.000 0.000 0.000
Ac 0.500 0.500 0.500
Cd 0.250 0.250 0.250
Cd 0.750 0.750 0.750
O 0.095 0.750 0.405
O 0.250 0.595 0.905
O 0.405 0.095 0.750
O 0.595 0.905 0.250
O 0.750 0.405 0.095
O 0.905 0.250 0.595


DFT (PBE-GGA) results for Zr2Cu2SiGeP2 after structural relaxation.

Total DFT energy (no corrections), eV per atom: -6.3717
Spin magnetization, μB per formula unit: 0.00
Space-group type: No. 115

Lattice parameters (Å, degrees): 3.623 3.623 9.504 90.00 90.00 90.00
Positions (direct):
Zr 0.000 0.500 0.231
Zr 0.500 0.000 0.769
Cu 0.000 0.000 0.500
Cu 0.500 0.500 0.500
Si 0.500 0.500 0.000
Ge 0.000 0.000 0.000
P 0.000 0.500 0.671
P 0.500 0.000 0.329


DFT (PBE-GGA) results for NdErMgIn after structural relaxation.

Total DFT energy (no corrections), eV per atom: -3.7201
Spin magnetization, μB per formula unit: 0.00
Space-group type: No. 216

Lattice parameters (Å, degrees): 7.592 7.592 7.592 90.00 90.00 90.00
Positions (direct):
Nd 0.000 0.000 0.000
Nd 0.000 0.500 0.500
Nd 0.500 0.000 0.500
Nd 0.500 0.500 0.000
Er 0.000 0.000 0.500
Er 0.000 0.500 0.000
Er 0.500 0.000 0.000
Er 0.500 0.500 0.500
Mg 0.250 0.250 0.750
Mg 0.250 0.750 0.250
Mg 0.750 0.250 0.250
Mg 0.750 0.750 0.750
In 0.250 0.250 0.250
In 0.250 0.750 0.750
In 0.750 0.250 0.750
In 0.750 0.750 0.250


DFT (PBE-GGA) results for CoBAs after structural relaxation.

Total DFT energy (no corrections), eV per atom: -5.6168
Spin magnetization, μB per formula unit: 0.21
Space-group type: No. 216

Lattice parameters (Å, degrees): 5.134 5.134 5.134 90.00 90.00 90.00
Positions (direct):
Co 0.000 0.000 0.000
Co 0.000 0.500 0.500
Co 0.500 0.000 0.500
Co 0.500 0.500 0.000
B 0.250 0.250 0.750
B 0.250 0.750 0.250
B 0.750 0.250 0.250
B 0.750 0.750 0.750
As 0.000 0.000 0.500
As 0.000 0.500 0.000
As 0.500 0.000 0.000
As 0.500 0.500 0.500


DFT (PBE-GGA) results for BiOs after structural relaxation.

Total DFT energy (no corrections), eV per atom: -6.9489
Spin magnetization, μB per formula unit: 0.00
Space-group type: No. 194

Lattice parameters (Å, degrees): 4.477 4.477 5.108 90.00 90.00 120.00
Positions (direct):
Bi 0.333 0.667 0.250
Bi 0.667 0.333 0.750
Os 0.000 0.000 0.000
Os 0.000 0.000 0.500


DFT (PBE-GGA) results for NdUI2BrN after structural relaxation.

Total DFT energy (no corrections), eV per atom: -6.1497
Spin magnetization, μB per formula unit: 2.04
Space-group type: No. 12

Lattice parameters (Å, degrees): 9.784 9.784 12.370 124.38 124.38 23.46
Positions (direct):
Nd 0.073 0.073 0.461
Nd 0.927 0.927 0.539
U 0.372 0.372 0.234
U 0.628 0.628 0.766
I 0.162 0.162 0.004
I 0.270 0.270 0.371
I 0.730 0.730 0.629
I 0.838 0.838 0.996
Br 0.465 0.465 0.748
Br 0.535 0.535 0.252
N 0.085 0.085 0.670
N 0.915 0.915 0.330


DFT (PBE-GGA) results for HoLuIn2Fe4 after structural relaxation.

Total DFT energy (no corrections), eV per atom: -6.2064
Spin magnetization, μB per formula unit: 7.56
Space-group type: No. 25

Lattice parameters (Å, degrees): 3.971 5.007 7.221 90.00 90.00 90.00
Positions (direct):
Ho 0.000 0.000 0.000
Lu 0.000 0.500 0.579
In 0.500 0.000 0.640
In 0.500 0.500 0.942
Fe 0.000 0.000 0.377
Fe 0.000 0.500 0.209
Fe 0.500 0.251 0.293
Fe 0.500 0.749 0.293


DFT (PBE-GGA) results for Tb2LuCu4Si4 after structural relaxation.

Total DFT energy (no corrections), eV per atom: -5.1998
Spin magnetization, μB per formula unit: 0.00
Space-group type: No. 71

Lattice parameters (Å, degrees): 7.826 7.826 7.826 149.40 131.03 58.86
Positions (direct):
Tb 0.130 0.130 0.000
Tb 0.870 0.870 0.000
Lu 0.500 0.000 0.500
Cu 0.140 0.331 0.809
Cu 0.478 0.669 0.809
Cu 0.522 0.331 0.191
Cu 0.860 0.669 0.191
Si 0.188 0.500 0.688
Si 0.285 0.785 0.500
Si 0.715 0.215 0.500
Si 0.812 0.500 0.312


DFT (PBE-GGA) results for GaPOsO after structural relaxation.

Total DFT energy (no corrections), eV per atom: -6.6373
Spin magnetization, μB per formula unit: 0.00
Space-group type: No. 129

Lattice parameters (Å, degrees): 3.946 3.946 7.200 90.00 90.00 90.00
Positions (direct):
Ga 0.250 0.250 0.083
Ga 0.750 0.750 0.917
P 0.250 0.250 0.677
P 0.750 0.750 0.323
Os 0.250 0.750 0.500
Os 0.750 0.250 0.500
O 0.250 0.750 0.000
O 0.750 0.250 0.000


DFT (PBE-GGA) results for AgAu2F8 after structural relaxation.

Total DFT energy (no corrections), eV per atom: -3.2046
Space-group type: No. 14

Lattice parameters (Å, degrees): 4.935 10.710 6.977 90.00 129.73 90.00
Positions (direct):
Ag 0.000 0.000 0.000
Ag 0.000 0.500 0.500
Au 0.245 0.180 0.541
Au 0.245 0.320 0.041
Au 0.755 0.680 0.959
Au 0.755 0.820 0.459
F 0.066 0.722 0.763
F 0.066 0.778 0.263
F 0.103 0.020 0.364
F 0.103 0.480 0.864
F 0.422 0.162 0.226
F 0.422 0.338 0.726
F 0.468 0.591 0.637
F 0.468 0.909 0.137
F 0.532 0.091 0.863
F 0.532 0.409 0.363
F 0.578 0.662 0.274
F 0.578 0.838 0.774
F 0.897 0.520 0.136
F 0.897 0.980 0.636
F 0.934 0.222 0.737
F 0.934 0.278 0.237


DFT (PBE-GGA) results for RbBaPbAu after structural relaxation.

Total DFT energy (no corrections), eV per atom: -2.6982
Space-group type: No. 216

Lattice parameters (Å, degrees): 7.942 7.942 7.942 90.00 90.00 90.00
Positions (direct):
Rb 0.000 0.000 0.000
Rb 0.000 0.500 0.500
Rb 0.500 0.000 0.500
Rb 0.500 0.500 0.000
Ba 0.250 0.250 0.750
Ba 0.250 0.750 0.250
Ba 0.750 0.250 0.250
Ba 0.750 0.750 0.750
Pb 0.250 0.250 0.250
Pb 0.250 0.750 0.750
Pb 0.750 0.250 0.750
Pb 0.750 0.750 0.250
Au 0.000 0.000 0.500
Au 0.000 0.500 0.000
Au 0.500 0.000 0.000
Au 0.500 0.500 0.500


DFT (PBE-GGA) results for RbTcB after structural relaxation.

Total DFT energy (no corrections), eV per atom: -3.7688
Spin magnetization, μB per formula unit: 2.46
Space-group type: No. 216

Lattice parameters (Å, degrees): 6.374 6.374 6.374 90.00 90.00 90.00
Positions (direct):
Rb 0.000 0.000 0.000
Rb 0.000 0.500 0.500
Rb 0.500 0.000 0.500
Rb 0.500 0.500 0.000
Tc 0.000 0.000 0.500
Tc 0.000 0.500 0.000
Tc 0.500 0.000 0.000
Tc 0.500 0.500 0.500
B 0.250 0.250 0.250
B 0.250 0.750 0.750
B 0.750 0.250 0.750
B 0.750 0.750 0.250


DFT (PBE-GGA) results for GdYB after structural relaxation.

Total DFT energy (no corrections), eV per atom: -5.8423
Spin magnetization, μB per formula unit: 0.00
Space-group type: No. 216

Lattice parameters (Å, degrees): 6.445 6.445 6.445 90.00 90.00 90.00
Positions (direct):
Gd 0.000 0.000 0.000
Gd 0.000 0.500 0.500
Gd 0.500 0.000 0.500
Gd 0.500 0.500 0.000
Y 0.000 0.000 0.500
Y 0.000 0.500 0.000
Y 0.500 0.000 0.000
Y 0.500 0.500 0.500
B 0.250 0.250 0.250
B 0.250 0.750 0.750
B 0.750 0.250 0.750
B 0.750 0.750 0.250